VASP calculation (GGA+U) on a geometry-optimized CoP2RuO structure.

spin magnetization: 0.7 Bohr magnetons per cell
excess energy over the best structure of this formula in the dataset: 0 meV/atom
V: 67.05 Å³/cell

Cell and atoms, written as CIF:
```
data_CoP2RuO
_cell_length_a 4.519
_cell_length_b 4.519
_cell_length_c 3.284
_cell_angle_alpha 90.00
_cell_angle_beta 90.00
_cell_angle_gamma 90.00
_space_group_name_H-M_alt 'P 1'
_space_group_IT_number 1
loop_
_space_group_symop_operation_xyz
'x,y,z'
loop_
_atom_site_label
_atom_site_type_symbol
_atom_site_fract_x
_atom_site_fract_y
_atom_site_fract_z
Ru1 Ru 0.500 0.500 0.500
Co1 Co 0.000 0.000 0.000
O1 O 0.000 0.000 0.500
P1 P 0.000 0.500 0.000
P2 P 0.500 0.000 0.000
```